(1)
CeSmDy2Sb4 after structural relaxation. Source: the Alexandria database, functional PBE.

Results
Calculated density in Mg/m³: 7.43
Total DFT energy (no corrections) in eV/atom: -5.6656
Total moment in Bohr magnetons per cell: 0.7
Energy relative to the elements, uncorrected in eV/atom: -1.122

Cell: 7.6731 4.4341 7.6824 Å, 90.00 109.40 90.00°
Space group P2/m (No. 10)
Symmetry-distinct sites (fractional):
Ce1 0.0000 0.0000 0.0000 (multiplicity 1)
Sm1 0.0000 0.5000 0.5000 (multiplicity 1)
Dy1 0.5000 0.0000 0.5000 (multiplicity 1)
Dy2 0.5000 0.5000 0.0000 (multiplicity 1)
Sb1 0.2554 0.0000 0.7523 (multiplicity 2)
Sb2 0.2559 0.5000 0.2521 (multiplicity 2)


(2)
CrCuP after structural relaxation. Source: the Alexandria database, functional PBE.

Results
Calculated density in Mg/m³: 6.38
Total DFT energy (no corrections) in eV/atom: -6.5939
DFT formation energy in meV/atom: -217
Total moment in Bohr magnetons per cell: 0.9

Cell: 3.5973 3.5973 5.8895 Å, 90.00 90.00 90.00°
Space group P4/nmm (No. 129, origin choice 2)
Symmetry-distinct sites (fractional):
Cr1 0.2500 0.7500 0.0000 (multiplicity 2)
Cu1 0.2500 0.2500 0.3491 (multiplicity 2)
P1 0.2500 0.2500 0.7393 (multiplicity 2)


(3)
WCSeBr2 after structural relaxation. Source: the Alexandria database, functional PBE.

Results
Calculated density in Mg/m³: 8.43
Total DFT energy (no corrections) in eV/atom: -3.8567
Total moment in Bohr magnetons per cell: 0.0
Energy relative to the elements, uncorrected in eV/atom: 1.945

Cell: 4.3939 4.3939 4.4365 Å, 90.00 90.00 90.00°
Space group P4/mmm (No. 123)
Symmetry-distinct sites (fractional):
W1 0.0000 0.0000 0.0000 (multiplicity 1)
C1 0.5000 0.5000 0.5000 (multiplicity 1)
Se1 0.5000 0.5000 0.0000 (multiplicity 1)
Br1 0.0000 0.5000 0.5000 (multiplicity 2)


(4)
Sm5Sb2Pd after structural relaxation. Source: the Alexandria database, functional PBE.

Results
Calculated density in Mg/m³: 7.00
Total DFT energy (no corrections) in eV/atom: -5.1202
Total moment in Bohr magnetons per cell: 0.0
Energy relative to the elements, uncorrected in eV/atom: -0.491

Cell: 6.0101 12.3037 14.1467 Å, 90.00 90.00 90.00°
Space group Cmcm (No. 63)
Symmetry-distinct sites (fractional):
Sm1 0.0000 0.0634 0.1076 (multiplicity 8)
Sm2 0.0000 0.3530 0.7500 (multiplicity 4)
Sm3 0.0000 0.3723 0.0701 (multiplicity 8)
Sb1 0.0000 0.1916 0.5896 (multiplicity 8)
Pd1 0.0000 0.2249 0.2500 (multiplicity 4)